[1]
Compound: SrAgRu2
Source: Alexandria
Functional: GGA-PBE
Structure: optimized geometry

Calculated values
ρ ... 7.28 g/cm³
E ... -22.1 eV/cell
Energy of formation ... 0.253 eV/atom
Total magnetic moment ... 0.00 μB per cell
Space group ... No. 160
ΔE to the lowest computed polymorph ... 0 meV per atom

abc: 4.318 4.318 6.145
angles: 69.43 69.43 60.00
Atoms (fractional coordinates):
1 Sr 0.495 0.495 0.514
2 Ru 0.024 0.024 0.929
3 Ru 0.694 0.694 0.917
4 Ag 0.287 0.287 0.139

***

[2]
Compound: TaMnRu2
Source: Alexandria
Functional: GGA-PBE
Structure: optimized geometry

Calculated values
ρ ... 12.25 g/cm³
E ... -38.8 eV/cell
Energy of formation ... 0.190 eV/atom
Total magnetic moment ... 2.31 μB per cell
Space group ... No. 160
ΔE to the lowest computed polymorph ... 451 meV per atom

abc: 9.015 9.015 9.015
angles: 17.74 17.74 17.74
Atoms (fractional coordinates):
1 Ta 0.499 0.499 0.499
2 Mn 0.746 0.746 0.746
3 Ru 0.002 0.002 0.002
4 Ru 0.253 0.253 0.253

***

[3]
Compound: KRb2I7
Source: Alexandria
Functional: GGA-PBE
Structure: optimized geometry

Calculated values
ρ ... 3.19 g/cm³
E ... -20.9 eV/cell
Total magnetic moment ... 0.00 μB per cell
Space group ... No. 139

abc: 8.843 8.843 9.616
angles: 62.63 62.63 90.00
Atoms (fractional coordinates):
1 I 0.232 0.232 0.000
2 I 0.768 0.768 0.000
3 I 0.232 0.768 0.000
4 I 0.272 0.272 0.456
5 I 0.728 0.728 0.544
6 I 0.000 0.000 0.000
7 I 0.768 0.232 0.000
8 K 0.500 0.500 0.000
9 Rb 0.250 0.750 0.500
10 Rb 0.750 0.250 0.500

***

[4]
Compound: PuThZnPt
Source: Alexandria
Functional: GGA-PBE
Structure: optimized geometry

Calculated values
ρ ... 13.15 g/cm³
E ... -31.0 eV/cell
Energy of formation ... -0.473 eV/atom
Total magnetic moment ... 5.71 μB per cell
Space group ... No. 216

abc: 5.085 5.085 5.085
angles: 60.00 60.00 60.00
Atoms (fractional coordinates):
1 Pu 0.750 0.750 0.750
2 Zn 0.500 0.500 0.500
3 Th 0.250 0.250 0.250
4 Pt 0.000 0.000 0.000

***

[5]
Compound: Cd3Hg4Bi
Source: Alexandria
Functional: GGA-PBE
Structure: optimized geometry

Calculated values
ρ ... 10.76 g/cm³
E ... -14.8 eV/cell
Energy of formation ... 0.056 eV/atom
Total magnetic moment ... 0.00 μB per cell
Space group ... No. 51

abc: 3.517 10.388 11.390
angles: 90.00 90.00 90.00
Atoms (fractional coordinates):
1 Hg 0.997 0.751 0.250
2 Hg 0.500 0.237 0.000
3 Hg 0.500 0.763 0.000
4 Hg 0.500 0.237 0.500
5 Hg 0.003 0.751 0.750
6 Hg 0.500 0.763 0.500
7 Hg 0.003 0.249 0.750
8 Hg 0.997 0.249 0.250
9 Cd 0.497 0.000 0.250
10 Cd 0.000 0.000 0.500
11 Cd 0.000 0.000 0.000
12 Cd 0.497 0.500 0.250
13 Cd 0.503 0.500 0.750
14 Cd 0.503 0.000 0.750
15 Bi 0.000 0.500 0.500
16 Bi 0.000 0.500 0.000

***

[6]
Compound: Ba5Hg
Source: Alexandria
Functional: GGA-PBE
Structure: optimized geometry

Calculated values
ρ ... 4.52 g/cm³
E ... -10.9 eV/cell
Energy of formation ... -0.161 eV/atom
Total magnetic moment ... 0.00 μB per cell
Space group ... No. 12
ΔE to the lowest computed polymorph ... 0 meV per atom

abc: 7.877 7.877 10.759
angles: 67.65 67.65 32.08
Atoms (fractional coordinates):
1 Ba 0.678 0.678 0.761
2 Ba 0.933 0.933 0.016
3 Ba 0.640 0.640 0.167
4 Ba 0.306 0.306 0.389
5 Ba 0.971 0.971 0.611
6 Hg 0.305 0.305 0.889